1.
Density functional theory data (GGA-PBE) for TlBRh3 after structural relaxation.

Unit cell a=7.6434 b=7.6434 c=7.6434 alpha=38.73 beta=38.73 gamma=38.73
Closest atoms and distances in Å follow each position.
Element x y z (fractional)
Tl: 0.1675 0.1675 0.1675  6 Rh 2.84-2.85, 3 Tl 2.93
Tl: 0.8325 0.8325 0.8325  6 Rh 2.84-2.85, 3 Tl 2.93
B: 0.3349 0.3349 0.3349  6 Rh 2.09-2.11
B: 0.6651 0.6651 0.6651  6 Rh 2.09-2.11
Rh: 0.0544 0.7319 0.3875  2 B 2.09-2.11
Rh: 0.2681 0.6125 0.9456  2 B 2.09-2.11
Rh: 0.3875 0.0544 0.7319  2 B 2.09-2.11
Rh: 0.6125 0.9456 0.2681  2 B 2.09-2.11
Rh: 0.7319 0.3875 0.0544  2 B 2.09-2.11
Rh: 0.9456 0.2681 0.6125  2 B 2.09-2.11

Calculated formation energy   -0.153 eV per formula unit



2.
Density functional theory data (GGA-PBE) for LiTeAu2N after structural relaxation.

Unit cell a=5.3564 b=5.3564 c=5.3550 alpha=90.00 beta=90.00 gamma=90.00
Closest atoms and distances in Å follow each position.
Element x y z (fractional)
Li: 0.0000 0.0000 0.0000  2 Te 2.68
Te: 0.0000 0.0000 0.5000  2 Li 2.68, 4 Au 2.68
Au: 0.0000 0.5000 0.5000  2 Te 2.68
Au: 0.5000 0.0000 0.5000  2 Te 2.68
N: 0.5000 0.5000 0.0000  8 Au 3.79, 4 Li 3.79

Energy relative to the elements, uncorrected   1.027 eV per atom